Entry 1:
# Er6Co2Ir PBE-GGA relaxed
# energy of formation	-295	meV/atom
# DOS at the Fermi energy	0.8198	states/eV per atom
# E	-53.10	eV per formula unit
# density	9.934	Mg/m³
data_Er6Co2Ir
_chemical_formula_sum 'Er12 Co4 Ir2'
_space_group_name_H-M_alt 'P 1 21/c 1'
_space_group_IT_number 14
_cell_length_a 6.4545
_cell_length_b 7.1069
_cell_length_c 11.3791
_cell_angle_alpha 90.00
_cell_angle_beta 122.71
_cell_angle_gamma 90.00
loop_
_space_group_symop_operation_xyz
'x,y,z'
'-x,-y,-z'
'-x,y+1/2,-z+1/2'
'x,-y+1/2,z+1/2'
loop_
_atom_site_label
_atom_site_type_symbol
_atom_site_fract_x
_atom_site_fract_y
_atom_site_fract_z
_atom_site_occupancy
Er1 Er 0.0789 0.0527 0.2423 1
Er2 Er 0.2359 0.6703 0.0836 1
Er3 Er 0.3894 0.1658 0.0673 1
Co1 Co 0.3156 0.1224 0.7796 1
Ir1 Ir 0.5000 0.0000 0.5000 1

***

Entry 2:
# Er8Co2Ir PBE-GGA relaxed
# energy of formation	-225	meV/atom
# DOS at the Fermi energy	0.9783	states/eV per atom
# E	-62.05	eV per formula unit
# density	9.925	Mg/m³
data_Er8Co2Ir
_chemical_formula_sum 'Er16 Co4 Ir2'
_space_group_name_H-M_alt 'C 1 m 1'
_space_group_IT_number 8
_cell_length_a 8.0769
_cell_length_b 12.2534
_cell_length_c 5.8744
_cell_angle_alpha 90.00
_cell_angle_beta 108.46
_cell_angle_gamma 90.00
loop_
_space_group_symop_operation_xyz
'x,y,z'
'x,-y,z'
'x+1/2,y+1/2,z'
'x+1/2,-y+1/2,z'
loop_
_atom_site_label
_atom_site_type_symbol
_atom_site_fract_x
_atom_site_fract_y
_atom_site_fract_z
_atom_site_occupancy
Er1 Er 0.0000 0.0000 0.0000 1
Er2 Er 0.0721 0.3684 0.7753 1
Er3 Er 0.1567 0.1313 0.5851 1
Er4 Er 0.2215 0.5000 0.3694 1
Er5 Er 0.3612 0.2154 0.1847 1
Co1 Co 0.3654 0.3103 0.6854 1
Ir1 Ir 0.3578 0.0000 0.3459 1

***

Entry 3:
# Er8Co2Ir PBE-GGA relaxed
# energy of formation	-289	meV/atom
# DOS at the Fermi energy	0.9698	states/eV per atom
# E	-62.75	eV per formula unit
# density	10.497	Mg/m³
data_Er8Co2Ir
_chemical_formula_sum 'Er16 Co4 Ir2'
_space_group_name_H-M_alt 'C 1 2/m 1'
_space_group_IT_number 12
_cell_length_a 16.8634
_cell_length_b 4.8927
_cell_length_c 6.6094
_cell_angle_alpha 90.00
_cell_angle_beta 107.02
_cell_angle_gamma 90.00
loop_
_space_group_symop_operation_xyz
'x,y,z'
'-x,-y,-z'
'-x,y,-z'
'x,-y,z'
'x+1/2,y+1/2,z'
'-x+1/2,-y+1/2,-z'
'-x+1/2,y+1/2,-z'
'x+1/2,-y+1/2,z'
loop_
_atom_site_label
_atom_site_type_symbol
_atom_site_fract_x
_atom_site_fract_y
_atom_site_fract_z
_atom_site_occupancy
Er1 Er 0.0360 0.0000 0.2921 1
Er2 Er 0.0949 0.5000 0.9507 1
Er3 Er 0.1719 0.5000 0.4736 1
Er4 Er 0.2018 0.0000 0.8211 1
Co1 Co 0.1879 0.0000 0.2038 1
Ir1 Ir 0.0000 0.5000 0.5000 1

***

Entry 4:
# Er6Co2Ir PBE-GGA relaxed
# energy of formation	-378	meV/atom
# DOS at the Fermi energy	0.9387	states/eV per atom
# E	-53.85	eV per formula unit
# density	10.782	Mg/m³
data_Er6Co2Ir
_chemical_formula_sum 'Er24 Co8 Ir4'
_space_group_name_H-M_alt 'I m m m'
_space_group_IT_number 71
_space_group_name_Hall '-I 2 2'
_cell_length_a 9.1879
_cell_length_b 9.2853
_cell_length_c 9.4855
_cell_angle_alpha 90.00
_cell_angle_beta 90.00
_cell_angle_gamma 90.00
loop_
_atom_site_label
_atom_site_type_symbol
_atom_site_fract_x
_atom_site_fract_y
_atom_site_fract_z
_atom_site_occupancy
Er1 Er 0.0000 0.1875 0.1728 1
Er2 Er 0.1773 0.2356 0.5000 1
Er3 Er 0.1864 0.5000 0.2454 1
Co1 Co 0.0000 0.0000 0.3853 1
Co2 Co 0.1623 0.0000 0.0000 1
Ir1 Ir 0.0000 0.5000 0.0000 1
Ir2 Ir 0.0000 0.5000 0.5000 1

***

Entry 5:
# Er3CoIr PBE-GGA relaxed
# energy of formation	-426	meV/atom
# DOS at the Fermi energy	0.5741	states/eV per atom
# E	-31.78	eV per formula unit
# density	10.441	Mg/m³
data_Er3CoIr
_chemical_formula_sum 'Er6 Co2 Ir2'
_space_group_name_H-M_alt 'P -1'
_space_group_IT_number 2
_cell_length_a 6.7133
_cell_length_b 6.7142
_cell_length_c 7.2507
_cell_angle_alpha 62.46
_cell_angle_beta 62.45
_cell_angle_gamma 60.10
loop_
_space_group_symop_operation_xyz
'x,y,z'
'-x,-y,-z'
loop_
_atom_site_label
_atom_site_type_symbol
_atom_site_fract_x
_atom_site_fract_y
_atom_site_fract_z
_atom_site_occupancy
Er1 Er 0.1033 0.3944 0.2449 1
Er2 Er 0.2431 0.8964 0.7548 1
Er3 Er 0.3939 0.7579 0.2449 1
Co1 Co 0.1772 0.1775 0.9675 1
Ir1 Ir 0.3248 0.3251 0.5254 1

***

Entry 6:
# Er4CoIr PBE-GGA relaxed
# energy of formation	-379	meV/atom
# DOS at the Fermi energy	0.5439	states/eV per atom
# E	-36.49	eV per formula unit
# density	9.383	Mg/m³
data_Er4CoIr
_chemical_formula_sum 'Er16 Co4 Ir4'
_space_group_name_H-M_alt 'I 41 m d'
_space_group_IT_number 109
_space_group_name_Hall 'I 4bw -2'
_cell_length_a 8.9824
_cell_length_b 8.9824
_cell_length_c 8.0736
_cell_angle_alpha 90.00
_cell_angle_beta 90.00
_cell_angle_gamma 90.00
loop_
_atom_site_label
_atom_site_type_symbol
_atom_site_fract_x
_atom_site_fract_y
_atom_site_fract_z
_atom_site_occupancy
Er1 Er 0.0000 0.2961 0.0000 1
Er2 Er 0.0000 0.3036 0.4859 1
Co1 Co 0.0000 0.0000 0.9899 1
Ir1 Ir 0.0000 0.0000 0.4961 1

***

Entry 7:
# Er4CoIr PBE-GGA relaxed
# energy of formation	-469	meV/atom
# DOS at the Fermi energy	1.0518	states/eV per atom
# E	-37.03	eV per formula unit
# density	10.743	Mg/m³
data_Er4CoIr
_chemical_formula_sum 'Er16 Co4 Ir4'
_space_group_name_H-M_alt 'C 1 2/c 1'
_space_group_IT_number 15
_cell_length_a 8.7391
_cell_length_b 12.8798
_cell_length_c 6.1099
_cell_angle_alpha 90.00
_cell_angle_beta 124.18
_cell_angle_gamma 90.00
loop_
_space_group_symop_operation_xyz
'x,y,z'
'-x,-y,-z'
'-x,y,-z+1/2'
'x,-y,z+1/2'
'x+1/2,y+1/2,z'
'-x+1/2,-y+1/2,-z'
'-x+1/2,y+1/2,-z+1/2'
'x+1/2,-y+1/2,z+1/2'
loop_
_atom_site_label
_atom_site_type_symbol
_atom_site_fract_x
_atom_site_fract_y
_atom_site_fract_z
_atom_site_occupancy
Er1 Er 0.1297 0.1792 0.0997 1
Er2 Er 0.2023 0.4397 0.2734 1
Co1 Co 0.0000 0.0008 0.7500 1
Ir1 Ir 0.0000 0.3631 0.7500 1

***

Entry 8:
# ErMgCoIr PBE-GGA relaxed
# energy of formation	-320	meV/atom
# DOS at the Fermi energy	0.8168	states/eV per atom
# E	-23.40	eV per formula unit
# density	10.939	Mg/m³
data_ErMgCoIr
_chemical_formula_sum 'Er4 Mg4 Co4 Ir4'
_space_group_name_H-M_alt 'F -4 3 m'
_space_group_IT_number 216
_space_group_name_Hall 'F -4 2 3'
_cell_length_a 6.4538
_cell_length_b 6.4538
_cell_length_c 6.4538
_cell_angle_alpha 90.00
_cell_angle_beta 90.00
_cell_angle_gamma 90.00
loop_
_atom_site_label
_atom_site_type_symbol
_atom_site_fract_x
_atom_site_fract_y
_atom_site_fract_z
_atom_site_occupancy
Er1 Er 0.0000 0.0000 0.0000 1
Mg1 Mg 0.0000 0.0000 0.5000 1
Co1 Co 0.2500 0.2500 0.2500 1
Ir1 Ir 0.2500 0.2500 0.7500 1

***

Entry 9:
# Er2CoP3Ir4 PBE-GGA relaxed
# energy of formation	-869	meV/atom
# DOS at the Fermi energy	0.4492	states/eV per atom
# E	-76.59	eV per formula unit
# density	13.005	Mg/m³
data_Er2CoP3Ir4
_chemical_formula_sum 'Er2 Co1 P3 Ir4'
_space_group_name_H-M_alt 'P -4 m 2'
_space_group_IT_number 115
_cell_length_a 4.0401
_cell_length_b 4.0401
_cell_length_c 9.8197
_cell_angle_alpha 90.00
_cell_angle_beta 90.00
_cell_angle_gamma 90.00
loop_
_space_group_symop_operation_xyz
'x,y,z'
'y,-x,-z'
'-x,-y,z'
'-y,x,-z'
'-x,y,z'
'-y,-x,-z'
'x,-y,z'
'y,x,-z'
loop_
_atom_site_label
_atom_site_type_symbol
_atom_site_fract_x
_atom_site_fract_y
_atom_site_fract_z
_atom_site_occupancy
Er1 Er 0.0000 0.5000 0.2452 1
Co1 Co 0.5000 0.5000 0.0000 1
P1 P 0.0000 0.0000 0.0000 1
P2 P 0.0000 0.5000 0.6392 1
Ir1 Ir 0.0000 0.0000 0.5000 1
Ir2 Ir 0.0000 0.5000 0.8700 1
Ir3 Ir 0.5000 0.5000 0.5000 1

***

Entry 10:
# Er2Co3P4Ir PBE-GGA relaxed
# energy of formation	-1015	meV/atom
# DOS at the Fermi energy	0.3136	states/eV per atom
# E	-71.10	eV per formula unit
# density	9.686	Mg/m³
data_Er2Co3P4Ir
_chemical_formula_sum 'Er2 Co3 P4 Ir1'
_space_group_name_H-M_alt 'P -4 m 2'
_space_group_IT_number 115
_cell_length_a 3.9339
_cell_length_b 3.9339
_cell_length_c 9.1664
_cell_angle_alpha 90.00
_cell_angle_beta 90.00
_cell_angle_gamma 90.00
loop_
_space_group_symop_operation_xyz
'x,y,z'
'y,-x,-z'
'-x,-y,z'
'-y,x,-z'
'-x,y,z'
'-y,-x,-z'
'x,-y,z'
'y,x,-z'
loop_
_atom_site_label
_atom_site_type_symbol
_atom_site_fract_x
_atom_site_fract_y
_atom_site_fract_z
_atom_site_occupancy
Er1 Er 0.0000 0.5000 0.2374 1
Co1 Co 0.0000 0.5000 0.8884 1
Co2 Co 0.5000 0.5000 0.5000 1
P1 P 0.0000 0.0000 0.0000 1
P2 P 0.0000 0.5000 0.6472 1
P3 P 0.5000 0.5000 0.0000 1
Ir1 Ir 0.0000 0.0000 0.5000 1

***

Entry 11:
# ErPuCoIr PBE-GGA relaxed
# energy of formation	-366	meV/atom
# DOS at the Fermi energy	1.8849	states/eV per atom
# E	-36.32	eV per formula unit
# density	14.307	Mg/m³
data_ErPuCoIr
_chemical_formula_sum 'Er4 Pu4 Co4 Ir4'
_space_group_name_H-M_alt 'F -4 3 m'
_space_group_IT_number 216
_space_group_name_Hall 'F -4 2 3'
_cell_length_a 6.7498
_cell_length_b 6.7498
_cell_length_c 6.7498
_cell_angle_alpha 90.00
_cell_angle_beta 90.00
_cell_angle_gamma 90.00
loop_
_atom_site_label
_atom_site_type_symbol
_atom_site_fract_x
_atom_site_fract_y
_atom_site_fract_z
_atom_site_occupancy
Er1 Er 0.0000 0.0000 0.0000 1
Pu1 Pu 0.0000 0.0000 0.5000 1
Co1 Co 0.2500 0.2500 0.2500 1
Ir1 Ir 0.2500 0.2500 0.7500 1

***

Entry 12:
# Er2CoSi4Ir3 PBE-GGA relaxed
# ΔE_f (raw)	-0.9644	eV/atom
# DOS at the Fermi energy	0.5387	states/eV per atom
# E	-74.15	eV per formula unit
# density	11.040	Mg/m³
data_Er2CoSi4Ir3
_chemical_formula_sum 'Er2 Co1 Si4 Ir3'
_space_group_name_H-M_alt 'P -4 m 2'
_space_group_IT_number 115
_cell_length_a 4.0554
_cell_length_b 4.0554
_cell_length_c 9.8996
_cell_angle_alpha 90.00
_cell_angle_beta 90.00
_cell_angle_gamma 90.00
loop_
_space_group_symop_operation_xyz
'x,y,z'
'y,-x,-z'
'-x,-y,z'
'-y,x,-z'
'-x,y,z'
'-y,-x,-z'
'x,-y,z'
'y,x,-z'
loop_
_atom_site_label
_atom_site_type_symbol
_atom_site_fract_x
_atom_site_fract_y
_atom_site_fract_z
_atom_site_occupancy
Er1 Er 0.0000 0.5000 0.2489 1
Co1 Co 0.5000 0.5000 0.0000 1
Si1 Si 0.0000 0.0000 0.5000 1
Si2 Si 0.0000 0.5000 0.8732 1
Si3 Si 0.5000 0.5000 0.5000 1
Ir1 Ir 0.0000 0.0000 0.0000 1
Ir2 Ir 0.0000 0.5000 0.6324 1

***

Entry 13:
# ErCoSi2Ir PBE-GGA relaxed
# ΔE_f (raw)	-0.9515	eV/atom
# DOS at the Fermi energy	0.3939	states/eV per atom
# E	-36.13	eV per formula unit
# density	10.134	Mg/m³
data_ErCoSi2Ir
_chemical_formula_sum 'Er2 Co2 Si4 Ir2'
_space_group_name_H-M_alt 'I -4 m 2'
_space_group_IT_number 119
_space_group_name_Hall 'I -4 -2'
_cell_length_a 3.9630
_cell_length_b 3.9630
_cell_length_c 9.9028
_cell_angle_alpha 90.00
_cell_angle_beta 90.00
_cell_angle_gamma 90.00
loop_
_atom_site_label
_atom_site_type_symbol
_atom_site_fract_x
_atom_site_fract_y
_atom_site_fract_z
_atom_site_occupancy
Er1 Er 0.0000 0.0000 0.0000 1
Co1 Co 0.0000 0.5000 0.2500 1
Si1 Si 0.0000 0.0000 0.3774 1
Ir1 Ir 0.0000 0.5000 0.7500 1

***

Entry 14:
# SmErCoIr PBE-GGA relaxed
# energy of formation	-453	meV/atom
# DOS at the Fermi energy	0.2723	states/eV per atom
# E	-27.06	eV per formula unit
# density	11.833	Mg/m³
data_SmErCoIr
_chemical_formula_sum 'Sm4 Er4 Co4 Ir4'
_space_group_name_H-M_alt 'F -4 3 m'
_space_group_IT_number 216
_space_group_name_Hall 'F -4 2 3'
_cell_length_a 6.8346
_cell_length_b 6.8346
_cell_length_c 6.8346
_cell_angle_alpha 90.00
_cell_angle_beta 90.00
_cell_angle_gamma 90.00
loop_
_atom_site_label
_atom_site_type_symbol
_atom_site_fract_x
_atom_site_fract_y
_atom_site_fract_z
_atom_site_occupancy
Sm1 Sm 0.0000 0.0000 0.0000 1
Er1 Er 0.0000 0.0000 0.5000 1
Co1 Co 0.2500 0.2500 0.7500 1
Ir1 Ir 0.2500 0.2500 0.2500 1

***

Entry 15:
# ErCoSnIr PBE-GGA relaxed
# energy of formation	-447	meV/atom
# DOS at the Fermi energy	0.2655	states/eV per atom
# E	-26.32	eV per formula unit
# density	12.716	Mg/m³
data_ErCoSnIr
_chemical_formula_sum 'Er4 Co4 Sn4 Ir4'
_space_group_name_H-M_alt 'F -4 3 m'
_space_group_IT_number 216
_space_group_name_Hall 'F -4 2 3'
_cell_length_a 6.5466
_cell_length_b 6.5466
_cell_length_c 6.5466
_cell_angle_alpha 90.00
_cell_angle_beta 90.00
_cell_angle_gamma 90.00
loop_
_atom_site_label
_atom_site_type_symbol
_atom_site_fract_x
_atom_site_fract_y
_atom_site_fract_z
_atom_site_occupancy
Er1 Er 0.0000 0.0000 0.0000 1
Co1 Co 0.2500 0.2500 0.2500 1
Sn1 Sn 0.0000 0.0000 0.5000 1
Ir1 Ir 0.2500 0.2500 0.7500 1

***

Entry 16:
# TbErCoIr PBE-GGA relaxed
# energy of formation	-525	meV/atom
# DOS at the Fermi energy	0.3154	states/eV per atom
# E	-27.26	eV per formula unit
# density	12.358	Mg/m³
data_TbErCoIr
_chemical_formula_sum 'Tb4 Er4 Co4 Ir4'
_space_group_name_H-M_alt 'F -4 3 m'
_space_group_IT_number 216
_space_group_name_Hall 'F -4 2 3'
_cell_length_a 6.7701
_cell_length_b 6.7701
_cell_length_c 6.7701
_cell_angle_alpha 90.00
_cell_angle_beta 90.00
_cell_angle_gamma 90.00
loop_
_atom_site_label
_atom_site_type_symbol
_atom_site_fract_x
_atom_site_fract_y
_atom_site_fract_z
_atom_site_occupancy
Tb1 Tb 0.0000 0.0000 0.0000 1
Er1 Er 0.0000 0.0000 0.5000 1
Co1 Co 0.2500 0.2500 0.7500 1
Ir1 Ir 0.2500 0.2500 0.2500 1

***

Entry 17:
# ErThCoIr PBE-GGA relaxed
# energy of formation	-496	meV/atom
# DOS at the Fermi energy	0.6124	states/eV per atom
# E	-29.93	eV per formula unit
# density	13.071	Mg/m³
data_ErThCoIr
_chemical_formula_sum 'Er4 Th4 Co4 Ir4'
_space_group_name_H-M_alt 'F -4 3 m'
_space_group_IT_number 216
_space_group_name_Hall 'F -4 2 3'
_cell_length_a 6.9141
_cell_length_b 6.9141
_cell_length_c 6.9141
_cell_angle_alpha 90.00
_cell_angle_beta 90.00
_cell_angle_gamma 90.00
loop_
_atom_site_label
_atom_site_type_symbol
_atom_site_fract_x
_atom_site_fract_y
_atom_site_fract_z
_atom_site_occupancy
Er1 Er 0.0000 0.0000 0.0000 1
Th1 Th 0.0000 0.0000 0.5000 1
Co1 Co 0.2500 0.2500 0.2500 1
Ir1 Ir 0.2500 0.2500 0.7500 1

***

Entry 18:
# YErCoIr PBE-GGA relaxed
# energy of formation	-525	meV/atom
# DOS at the Fermi energy	0.3552	states/eV per atom
# E	-29.09	eV per formula unit
# density	10.881	Mg/m³
data_YErCoIr
_chemical_formula_sum 'Y4 Er4 Co4 Ir4'
_space_group_name_H-M_alt 'F -4 3 m'
_space_group_IT_number 216
_space_group_name_Hall 'F -4 2 3'
_cell_length_a 6.7655
_cell_length_b 6.7655
_cell_length_c 6.7655
_cell_angle_alpha 90.00
_cell_angle_beta 90.00
_cell_angle_gamma 90.00
loop_
_atom_site_label
_atom_site_type_symbol
_atom_site_fract_x
_atom_site_fract_y
_atom_site_fract_z
_atom_site_occupancy
Y1 Y 0.0000 0.0000 0.0000 1
Er1 Er 0.0000 0.0000 0.5000 1
Co1 Co 0.2500 0.2500 0.7500 1
Ir1 Ir 0.2500 0.2500 0.2500 1

***

Entry 19:
# ErZrCoIr PBE-GGA relaxed
# energy of formation	-549	meV/atom
# DOS at the Fermi energy	0.6026	states/eV per atom
# E	-31.27	eV per formula unit
# density	11.607	Mg/m³
data_ErZrCoIr
_chemical_formula_sum 'Er4 Zr4 Co4 Ir4'
_space_group_name_H-M_alt 'F -4 3 m'
_space_group_IT_number 216
_space_group_name_Hall 'F -4 2 3'
_cell_length_a 6.6316
_cell_length_b 6.6316
_cell_length_c 6.6316
_cell_angle_alpha 90.00
_cell_angle_beta 90.00
_cell_angle_gamma 90.00
loop_
_atom_site_label
_atom_site_type_symbol
_atom_site_fract_x
_atom_site_fract_y
_atom_site_fract_z
_atom_site_occupancy
Er1 Er 0.0000 0.0000 0.0000 1
Zr1 Zr 0.0000 0.0000 0.5000 1
Co1 Co 0.2500 0.2500 0.2500 1
Ir1 Ir 0.2500 0.2500 0.7500 1